A plane-wave DFT calculation with PBE was carried out for an optimized crystal structure of Y3CO2.

Cell lengths 3.504, 4.921, 10.435 Å; angles 90.00, 90.00, 90.00 degrees
Sites, in units of the cell vectors:
Y  0.000  0.000  0.000
Y  0.000  0.000  0.338
Y  0.000  0.000  0.662
Y  0.500  0.500  0.162
Y  0.500  0.500  0.500
Y  0.500  0.500  0.838
C  0.000  0.500  0.000
C  0.500  0.000  0.500
O  0.000  0.500  0.336
O  0.000  0.500  0.664
O  0.500  0.000  0.164
O  0.500  0.000  0.836

Values from the calculation:
Energy relative to the elements, uncorrected   -2.16 eV per atom
Space group   No. 71


A plane-wave DFT calculation with PBE was carried out for an optimized crystal structure of Y2NiPt.

Cell lengths 4.195, 4.195, 19.777 Å; angles 90.00, 90.00, 120.00 degrees
Sites, in units of the cell vectors:
Y  0.000  0.000  0.000
Y  0.000  0.000  0.178
Y  0.333  0.667  0.667
Y  0.333  0.667  0.845
Y  0.667  0.333  0.333
Y  0.667  0.333  0.511
Ni  0.000  0.000  0.421
Ni  0.333  0.667  0.087
Ni  0.667  0.333  0.754
Pt  0.000  0.000  0.757
Pt  0.333  0.667  0.424
Pt  0.667  0.333  0.090

Values from the calculation:
Energy of formation from the pure elements   -569 meV per atom
Space group   No. 160


A plane-wave DFT calculation with PBE was carried out for an optimized crystal structure of BeGaSe2.

Cell lengths 6.594, 6.594, 6.594 Å; angles 90.00, 90.00, 90.00 degrees
Sites, in units of the cell vectors:
Be  0.000  0.000  0.000
Be  0.000  0.500  0.500
Be  0.500  0.000  0.500
Be  0.500  0.500  0.000
Ga  0.000  0.000  0.500
Ga  0.000  0.500  0.000
Ga  0.500  0.000  0.000
Ga  0.500  0.500  0.500
Se  0.250  0.250  0.250
Se  0.250  0.250  0.750
Se  0.250  0.750  0.250
Se  0.250  0.750  0.750
Se  0.750  0.250  0.250
Se  0.750  0.250  0.750
Se  0.750  0.750  0.250
Se  0.750  0.750  0.750

Values from the calculation:
Energy relative to the elements, uncorrected   0.32 eV per atom
Excess energy over the best structure of this formula in the dataset   759 meV per atom
Space group   No. 225


A plane-wave DFT calculation with PBE was carried out for an optimized crystal structure of NiIrPd.

Cell lengths 2.716, 2.716, 11.127 Å; angles 90.00, 90.00, 90.00 degrees
Sites, in units of the cell vectors:
Ni  0.250  0.250  0.242
Ni  0.750  0.750  0.758
Ir  0.250  0.250  0.915
Ir  0.750  0.750  0.085
Pd  0.250  0.250  0.594
Pd  0.750  0.750  0.406

Values from the calculation:
Energy of formation from the pure elements   14 meV per atom
Excess energy over the best structure of this formula in the dataset   0 meV per atom
Space group   No. 129


A plane-wave DFT calculation with PBE was carried out for an optimized crystal structure of Nd2DyTm9.

Cell lengths 11.149, 11.149, 3.477 Å; angles 90.00, 90.00, 120.00 degrees
Sites, in units of the cell vectors:
Nd  0.333  0.667  0.000
Nd  0.667  0.333  0.000
Dy  0.000  0.000  0.000
Tm  0.000  0.500  0.000
Tm  0.174  0.349  0.500
Tm  0.174  0.826  0.500
Tm  0.349  0.174  0.500
Tm  0.500  0.000  0.000
Tm  0.500  0.500  0.000
Tm  0.651  0.826  0.500
Tm  0.826  0.174  0.500
Tm  0.826  0.651  0.500

Values from the calculation:
Energy of formation from the pure elements   75 meV per atom
Excess energy over the best structure of this formula in the dataset   47 meV per atom
Space group   No. 191


A plane-wave DFT calculation with PBE was carried out for an optimized crystal structure of Ca6PtAu5.

Cell lengths 8.029, 8.029, 7.302 Å; angles 90.00, 90.00, 143.00 degrees
Sites, in units of the cell vectors:
Ca  0.000  0.000  0.242
Ca  0.000  0.000  0.758
Ca  0.337  0.663  0.246
Ca  0.337  0.663  0.754
Ca  0.663  0.337  0.246
Ca  0.663  0.337  0.754
Pt  0.500  0.500  0.000
Au  0.168  0.832  0.500
Au  0.169  0.831  0.000
Au  0.500  0.500  0.500
Au  0.831  0.169  0.000
Au  0.832  0.168  0.500

Values from the calculation:
Energy of formation from the pure elements   -807 meV per atom
Space group   No. 65


So what do the calculations give for E? Going down the list: -103.02; -81.08; -49.83; -39.59; -53.48; -44.12 eV/cell.
So what do the calculations give for V? Going down the list: 15.0; 25.1; 17.9; 13.7; 31.2; 23.6 A^3/atom.